# Tl2Cr2GeO6 | the Alexandria database | PBE+U | optimized geometry
data_Tl2Cr2GeO6
_chemical_formula_sum 'Tl4 Cr4 Ge2 O12'
_space_group_name_H-M_alt 'C 1 2/m 1'
_space_group_IT_number 12
_cell_length_a 5.2524
_cell_length_b 9.0963
_cell_length_c 6.7824
_cell_angle_alpha 90.00
_cell_angle_beta 104.67
_cell_angle_gamma 90.00
loop_
_space_group_symop_operation_xyz
'x,y,z'
'-x,-y,-z'
'-x,y,-z'
'x,-y,z'
'x+1/2,y+1/2,z'
'-x+1/2,-y+1/2,-z'
'-x+1/2,y+1/2,-z'
'x+1/2,-y+1/2,z'
loop_
_atom_site_label
_atom_site_type_symbol
_atom_site_fract_x
_atom_site_fract_y
_atom_site_fract_z
Tl1 Tl 0.0000 0.1669 0.0000
Cr1 Cr 0.0000 0.3335 0.5000
Ge1 Ge 0.0000 0.0000 0.5000
O1 O 0.2100 0.1610 0.6528
O2 O 0.2321 0.5000 0.6528
# VASP energy: -6.41 eV per atom
# total moment: 6.00 μB/f.u.
# crystal system: monoclinic